# 1
First-principles (PBE-GGA) data for a geometry-optimized Li8CuPt2 structure, as listed in the Alexandria database.

Lattice parameters (Å, degrees): 7.349 7.349 7.349 145.97 131.04 60.97
Fractional positions:
Li 0.126 0.349 0.777
Li 0.170 0.170 0.000
Li 0.291 0.000 0.291
Li 0.428 0.651 0.777
Li 0.572 0.349 0.223
Li 0.709 0.000 0.709
Li 0.830 0.830 0.000
Li 0.874 0.651 0.223
Cu 0.000 0.500 0.500
Pt 0.311 0.811 0.500
Pt 0.689 0.189 0.500

Values from the calculation:
The density of states at the Fermi level comes out at 0.379 states/eV/atom. The calculation puts the formation energy at -0.27 eV/atom.

# 2
First-principles (PBE-GGA) data for a geometry-optimized LiCu6Pt structure, as listed in the Alexandria database.

Lattice parameters (Å, degrees): 4.913 4.913 4.913 82.10 82.10 82.10
Fractional positions:
Li 0.000 0.000 0.000
Cu 0.154 0.154 0.532
Cu 0.154 0.532 0.154
Cu 0.468 0.846 0.846
Cu 0.532 0.154 0.154
Cu 0.846 0.468 0.846
Cu 0.846 0.846 0.468
Pt 0.500 0.500 0.500

Values from the calculation:
Its excess energy over the best structure of this formula in the dataset is 478.9 meV/atom. The density of states at the Fermi level comes out at 0.457 states/eV/atom. The calculation puts the formation energy at 0.36 eV/atom.

# 3
First-principles (PBE-GGA) data for a geometry-optimized LiCuPt2 structure, as listed in the Alexandria database.

Lattice parameters (Å, degrees): 2.793 4.364 4.661 90.00 90.00 90.00
Fractional positions:
Li 0.000 0.000 0.000
Cu 0.500 0.000 0.500
Pt 0.000 0.500 0.500
Pt 0.500 0.500 0.000

Values from the calculation:
Its excess energy over the best structure of this formula in the dataset is 46.2 meV/atom. The density of states at the Fermi level comes out at 0.565 states/eV/atom. The calculation puts the formation energy at -0.36 eV/atom.

# 4
First-principles (PBE-GGA) data for a geometry-optimized LiCuPt structure, as listed in the Alexandria database.

Lattice parameters (Å, degrees): 4.606 4.606 5.258 107.52 107.52 49.33
Fractional positions:
Li 0.000 0.000 0.000
Li 0.673 0.673 0.330
Cu 0.331 0.331 0.669
Cu 0.997 0.997 0.508
Pt 0.342 0.342 0.182
Pt 0.662 0.662 0.816

Values from the calculation:
Its excess energy over the best structure of this formula in the dataset is 24.0 meV/atom. The density of states at the Fermi level comes out at 0.553 states/eV/atom. The calculation puts the formation energy at -0.35 eV/atom.

# 5
First-principles (PBE-GGA) data for a geometry-optimized LiCuPt2 structure, as listed in the Alexandria database.

Lattice parameters (Å, degrees): 2.691 3.993 5.263 90.00 90.00 90.00
Fractional positions:
Li 0.000 0.000 0.000
Cu 0.500 0.500 0.740
Pt 0.000 0.000 0.510
Pt 0.500 0.500 0.235

Values from the calculation:
Its excess energy over the best structure of this formula in the dataset is 130.8 meV/atom. The density of states at the Fermi level comes out at 0.878 states/eV/atom. The calculation puts the formation energy at -0.28 eV/atom.

# 6
First-principles (PBE-GGA) data for a geometry-optimized LiCu6Pt structure, as listed in the Alexandria database.

Lattice parameters (Å, degrees): 4.282 5.212 5.212 59.54 90.00 90.00
Fractional positions:
Li 0.000 0.000 0.000
Cu 0.000 0.499 0.999
Cu 0.000 0.999 0.499
Cu 0.500 0.330 0.330
Cu 0.500 0.332 0.838
Cu 0.500 0.832 0.832
Cu 0.500 0.838 0.332
Pt 0.000 0.499 0.499

Values from the calculation:
Its excess energy over the best structure of this formula in the dataset is 0.0 meV/atom. The density of states at the Fermi level comes out at 0.279 states/eV/atom. The calculation puts the formation energy at -0.12 eV/atom.